No. 1
DFT (PBE) results for KHgW2 after structural relaxation.

Output
Energy of formation from the pure elements = 29.1 kcal/mol of atoms

Cell lengths 2.903, 2.903, 33.652 Å; angles 90.00, 90.00, 120.00 degrees
Positions (direct):
K (0.000, 0.000, 0.000)
K (0.333, 0.667, 0.667)
K (0.667, 0.333, 0.333)
Hg (0.000, 0.000, 0.500)
Hg (0.333, 0.667, 0.167)
Hg (0.667, 0.333, 0.833)
W (0.000, 0.000, 0.240)
W (0.000, 0.000, 0.760)
W (0.333, 0.667, 0.427)
W (0.333, 0.667, 0.906)
W (0.667, 0.333, 0.094)
W (0.667, 0.333, 0.573)

=====

No. 2
DFT (PBE) results for Sc3Cd2Au2 after structural relaxation.

Output
Energy of formation from the pure elements = -11.6 kcal/mol of atoms

Cell lengths 3.375, 26.773, 3.325 Å; angles 90.00, 90.00, 90.00 degrees
Positions (direct):
Sc (0.000, 0.000, 0.000)
Sc (0.000, 0.129, 0.000)
Sc (0.000, 0.871, 0.000)
Sc (0.500, 0.371, 0.000)
Sc (0.500, 0.500, 0.000)
Sc (0.500, 0.629, 0.000)
Cd (0.000, 0.295, 0.500)
Cd (0.000, 0.705, 0.500)
Cd (0.500, 0.205, 0.500)
Cd (0.500, 0.795, 0.500)
Au (0.000, 0.436, 0.500)
Au (0.000, 0.564, 0.500)
Au (0.500, 0.064, 0.500)
Au (0.500, 0.936, 0.500)

=====

| no. | electronic total energy (eV/atom) | N(E_F) (states/eV/f.u.) | total magnetic moment (μB/f.u.) |
| --- | --- | --- | --- |
| 1 | -5.56 | 4.90 | 0.00 |
| 2 | -4.41 | 4.92 | 0.00 |